[1]
DFT (PBE) results for a relaxed Tb3Mg2C crystal.

Calculated values
**N(E_F)**: 1.0114 states/eV/atom
**M_tot**: 0.0 Bohr magnetons per cell
**Formation energy**: -0.15 eV/atom
**Raw total energy**: -4.530 eV/atom

Cell: 8.6559 8.6559 6.9683 Å, 90.00 90.00 34.57°
Last column: nearest neighbours and their distance in Å.
Element x y z (fractional)
1 Tb 0.9998 0.0002 0.2500  2 C 2.57
2 Tb 0.0002 0.9998 0.7500  2 C 2.57
3 Tb 0.3954 0.3954 0.0000  2 C 2.45
4 Tb 0.3954 0.3954 0.5000  2 C 2.45
5 Tb 0.6046 0.6046 0.0000  2 C 2.45
6 Tb 0.6046 0.6046 0.5000  2 C 2.45
7 Mg 0.2011 0.2022 0.2500  2 Mg 3.03, 1 Tb 3.33
8 Mg 0.2022 0.2011 0.7500  2 Mg 3.03, 1 Tb 3.33
9 Mg 0.7978 0.7989 0.2500  2 Mg 3.03, 1 Tb 3.33
10 Mg 0.7989 0.7978 0.7500  2 Mg 3.03, 1 Tb 3.33
11 C 0.4996 0.5004 0.2500  6 Tb 2.45-2.57
12 C 0.5004 0.4996 0.7500  6 Tb 2.45-2.57

***

[2]
DFT (PBE) results for a relaxed Tb5MgC2 crystal.

Calculated values
**N(E_F)**: 0.7951 states/eV/atom
**M_tot**: 0.0 Bohr magnetons per cell
**Formation energy**: -0.03 eV/atom
**Raw total energy**: -5.434 eV/atom

Cell: 8.2855 8.2855 8.2855 Å, 154.16 132.78 54.60°
Last column: nearest neighbours and their distance in Å.
Element x y z (fractional)
1 Tb 0.0000 0.0000 0.0000  2 C 2.67
2 Tb 0.0921 0.3402 0.7519  2 C 2.51
3 Tb 0.4117 0.6598 0.7519  2 C 2.51
4 Tb 0.5883 0.3402 0.2481  2 C 2.51
5 Tb 0.9079 0.6598 0.2481  2 C 2.51
6 Mg 0.5000 0.0000 0.5000  10 Tb 3.32-3.42, 2 Mg 3.70
7 C 0.1810 0.1810 0.0000  5 Tb 2.51-2.67
8 C 0.8190 0.8190 0.0000  5 Tb 2.51-2.67

***

Q: The lowest N(E_F) belongs to which entry?
A: Tb5MgC2